[1]
HoLuCdAg after structural relaxation. Source: Alexandria via LeMat-Bulk, functional PBE.

Unit cell a=5.158 b=5.158 c=5.158 alpha=60.00 beta=60.00 gamma=60.00
Fractional coordinates of all 4 atoms:
Cd (0.750, 0.750, 0.750)
Lu (0.000, 0.000, 0.000)
Ag (0.250, 0.250, 0.250)
Ho (0.500, 0.500, 0.500)

- Energy of formation from the pure elements: -0.307 eV/atom

***

[2]
BeHCl2 after structural relaxation. Source: Alexandria via LeMat-Bulk, functional PBE.

Unit cell a=5.301 b=6.848 c=6.858 alpha=81.39 beta=67.28 gamma=67.22
Fractional coordinates of all 8 atoms:
Cl (0.769, 0.431, 0.184)
Cl (0.523, 0.921, 0.184)
Cl (0.024, 0.676, 0.429)
Cl (0.268, 0.676, 0.939)
Be (0.396, 0.676, 0.184)
Be (0.896, 0.676, 0.184)
H (0.144, 0.178, 0.683)
H (0.644, 0.178, 0.683)

- Energy above the most stable polymorph in this dataset: 0 meV/atom

***

[3]
TbNd2Sc after structural relaxation. Source: Alexandria via LeMat-Bulk, functional PBE.

Unit cell a=3.565 b=3.565 c=11.591 alpha=81.15 beta=81.15 gamma=60.00
Fractional coordinates of all 4 atoms:
Sc (0.500, 0.500, 0.500)
Nd (0.753, 0.753, 0.740)
Nd (0.247, 0.247, 0.260)
Tb (0.000, 0.000, 0.000)

- Energy above the most stable polymorph in this dataset: 7 meV/atom
- Energy of formation from the pure elements: 0.046 eV/atom

***

These records have raw total energy values of -14.09, -12.79, -20.31 eV per formula unit, in the order they appear.
These records have M_tot values of 0.00, 1.00, 0.00 μB per formula unit, in the order they appear.